[1]
First-principles (PBE-GGA) data for a geometry-optimized Dy3In2Cu structure, as listed in Alexandria.

a b c (Å): 3.5137 3.5137 11.9958
angles (deg): 90.00 90.00 90.00
Last column: nearest neighbours and their distance in Å.
Fractional coordinates of all 6 atoms:
Dy  0.0000  0.0000  0.0000  8 In 3.28, 4 Dy 3.51
Dy  0.0000  0.0000  0.6430  4 Cu 3.02, 4 In 3.28
Dy  0.0000  0.0000  0.3570  4 Cu 3.02, 4 In 3.28
In  0.5000  0.5000  0.8213  8 Dy 3.28, 4 In 3.51
In  0.5000  0.5000  0.1787  8 Dy 3.28, 4 In 3.51
Cu  0.5000  0.5000  0.5000  8 Dy 3.02

Output
- Total energy: -4.297 eV per atom
- Fermi-level density of states: 2.9 states/eV/cell
- Magnetization: 0.00 μB/f.u.

[2]
First-principles (PBE-GGA) data for a geometry-optimized Dy2In3Cu structure, as listed in Alexandria.

a b c (Å): 4.7311 4.7311 7.4491
angles (deg): 90.00 90.00 120.00
Last column: nearest neighbours and their distance in Å.
Fractional coordinates of all 6 atoms:
Dy  0.0000  0.0000  0.2766  3 Cu 3.04, 6 In 3.15-3.27
Dy  0.0000  0.0000  0.7369  6 In 3.15-3.18, 1 Dy 3.43, 3 Cu 3.45
In  0.3333  0.6667  0.5175  3 Cu 2.77
In  0.3333  0.6667  0.9488  3 In 2.87, 3 Dy 3.15
In  0.6667  0.3333  0.0657  3 In 2.87, 1 Cu 2.90, 3 Dy 3.15
Cu  0.6667  0.3333  0.4545  4 In 2.77-2.90, 3 Dy 3.04

Output
- Energy above the lowest structure with this stoichiometry: 0.00 eV per formula unit
- Fermi-level density of states: 1.7 states/eV/cell
- Magnetization: 0.00 μB/f.u.

[3]
First-principles (PBE-GGA) data for a geometry-optimized DyIn2Cu6 structure, as listed in Alexandria.

a b c (Å): 3.5448 7.4386 7.4386
angles (deg): 55.38 76.22 76.22
Last column: nearest neighbours and their distance in Å.
Fractional coordinates of all 9 atoms:
Dy  0.0000  0.0000  0.0000  12 Cu 2.86-3.12
In  0.8608  0.6392  0.6392  10 Cu 2.65-2.86
In  0.1392  0.3608  0.3608  10 Cu 2.65-2.86
Cu  0.6768  0.0056  0.6408  4 Cu 2.45-2.73, 1 In 2.65
Cu  0.3232  0.9944  0.3592  4 Cu 2.45-2.73, 1 In 2.65
Cu  0.3232  0.3592  0.9944  4 Cu 2.45-2.73, 1 In 2.65
Cu  0.5000  0.6762  0.3238  3 Cu 2.44-2.45
Cu  0.5000  0.3238  0.6762  3 Cu 2.44-2.45
Cu  0.6768  0.6408  0.0056  4 Cu 2.45-2.73, 1 In 2.65

Output
- Total energy: -3.862 eV per atom
- Fermi-level density of states: 3.8 states/eV/cell
- Magnetization: 0.00 μB/f.u.

[4]
First-principles (PBE-GGA) data for a geometry-optimized DyInCuIr structure, as listed in Alexandria.

a b c (Å): 4.7305 4.7305 4.7305
angles (deg): 60.00 60.00 60.00
Last column: nearest neighbours and their distance in Å.
Fractional coordinates of all 4 atoms:
Ir  0.5000  0.5000  0.5000  4 In 2.90, 4 Dy 2.90
In  0.2500  0.2500  0.2500  4 Cu 2.90, 4 Ir 2.90
Cu  0.0000  0.0000  0.0000  4 Dy 2.90, 4 In 2.90
Dy  0.7500  0.7500  0.7500  4 Cu 2.90, 4 Ir 2.90

Output
- Total energy: -5.456 eV per atom
- Fermi-level density of states: 3.2 states/eV/cell
- Magnetization: 0.00 μB/f.u.

[5]
First-principles (PBE-GGA) data for a geometry-optimized DyLuInCu structure, as listed in Alexandria.

a b c (Å): 5.1050 5.1050 5.1050
angles (deg): 60.00 60.00 60.00
Last column: nearest neighbours and their distance in Å.
Fractional coordinates of all 4 atoms:
Lu  0.5000  0.5000  0.5000  4 In 3.13, 4 Cu 3.13
In  0.7500  0.7500  0.7500  4 Lu 3.13, 4 Dy 3.13
Cu  0.2500  0.2500  0.2500  4 Dy 3.13, 4 Lu 3.13
Dy  0.0000  0.0000  0.0000  4 In 3.13, 4 Cu 3.13

Output
- Total energy: -4.302 eV per atom
- Fermi-level density of states: 2.8 states/eV/cell
- Magnetization: 0.00 μB/f.u.

[6]
First-principles (PBE-GGA) data for a geometry-optimized NaDyInCu structure, as listed in Alexandria.

a b c (Å): 4.8938 4.8938 4.8938
angles (deg): 60.00 60.00 60.00
Last column: nearest neighbours and their distance in Å.
Fractional coordinates of all 4 atoms:
Na  0.7500  0.7500  0.7500  4 In 3.00, 4 Dy 3.00
In  0.0000  0.0000  0.0000  4 Na 3.00, 4 Cu 3.00
Cu  0.2500  0.2500  0.2500  4 In 3.00, 4 Dy 3.00
Dy  0.5000  0.5000  0.5000  4 Cu 3.00, 4 Na 3.00

Output
- Total energy: -3.293 eV per atom
- Fermi-level density of states: 1.0 states/eV/cell
- Magnetization: 0.00 μB/f.u.

[7]
First-principles (PBE-GGA) data for a geometry-optimized NdDyInCu structure, as listed in Alexandria.

a b c (Å): 5.2500 5.2500 5.2500
angles (deg): 60.00 60.00 60.00
Last column: nearest neighbours and their distance in Å.
Fractional coordinates of all 4 atoms:
In  0.5000  0.5000  0.5000  4 Dy 3.21, 4 Nd 3.21
Nd  0.7500  0.7500  0.7500  4 Cu 3.21, 4 In 3.21
Cu  0.0000  0.0000  0.0000  4 Dy 3.21, 4 Nd 3.21
Dy  0.2500  0.2500  0.2500  4 In 3.21, 4 Cu 3.21

Output
- Total energy: -4.329 eV per atom
- Fermi-level density of states: 4.1 states/eV/cell
- Magnetization: 0.00 μB/f.u.

[8]
First-principles (PBE-GGA) data for a geometry-optimized DyIn2CuPd4 structure, as listed in Alexandria.

a b c (Å): 4.6273 4.6273 8.1579
angles (deg): 73.52 73.52 60.00
Last column: nearest neighbours and their distance in Å.
Fractional coordinates of all 8 atoms:
Dy  0.0000  0.0000  0.0000  8 Pd 2.91-2.94
In  0.7550  0.7550  0.7350  7 Pd 2.76-2.81
In  0.2450  0.2450  0.2650  7 Pd 2.76-2.81
Cu  0.5000  0.5000  0.5000  8 Pd 2.63-2.83
Pd  0.3864  0.3864  0.8407  1 Cu 2.63, 3 In 2.79, 3 Dy 2.94
Pd  0.8744  0.8744  0.3769  4 In 2.76-2.81, 3 Cu 2.83, 1 Dy 2.91
Pd  0.1256  0.1256  0.6231  4 In 2.76-2.81, 3 Cu 2.83, 1 Dy 2.91
Pd  0.6136  0.6136  0.1593  1 Cu 2.63, 3 In 2.79, 3 Dy 2.94

Output
- Total energy: -4.939 eV per atom
- Fermi-level density of states: 3.0 states/eV/cell
- Magnetization: 0.00 μB/f.u.